Entry 1:
5
Lattice="-0.674 3.013 -4.134 -4.959 -1.140 -0.023 -0.940 4.026 3.087" Properties=species:S:1:pos:R:3 comment="PBE CdTc2HgSb, optimized geometry" final_energy_ev_per_atom=-3.5016 pbc="T T T"
Sb -3.286 2.949 -0.535
Tc -0.337 1.506 -2.067
Tc -0.470 2.013 1.544
Cd 0.000 0.000 0.000
Hg -2.479 -0.570 -0.011

=====

Entry 2:
5
Lattice="5.600 0.000 0.000 0.000 5.600 0.000 0.000 0.000 5.665" Properties=species:S:1:pos:R:3 comment="PBE CdHgSb2Te, optimized geometry" polymorph_energy_mev_per_atom=0 pbc="T T T"
Cd 0.000 0.000 0.000
Sb 2.800 0.000 0.000
Sb 0.000 2.800 0.000
Hg 2.800 2.800 2.833
Te 0.000 0.000 2.833

=====

Entry 3:
4
Lattice="-2.462 -4.039 1.010 3.972 1.707 4.930 -5.285 2.521 -2.804" Properties=species:S:1:pos:R:3 comment="PBE TlCdHgSb, optimized geometry" polymorph_energy_mev_per_atom=7 pbc="T T T"
Cd -1.347 -1.219 3.422
Hg -3.102 2.164 1.092
Sb -4.552 -0.281 -0.641
Tl -0.469 0.424 0.551

=====

Entry 4:
8
Lattice="-0.684 -5.442 1.031 8.927 -0.536 3.092 -4.487 1.137 3.027" Properties=species:S:1:pos:R:3 comment="PBE Tl4CdHg2Sb, optimized geometry" final_energy_ev_per_atom=-1.8780 pbc="T T T"
Cd 4.122 -2.989 2.062
Sb 0.000 0.000 0.000
Hg 2.220 0.301 3.060
Hg -2.586 -2.153 2.029
Tl 2.999 -2.270 5.113
Tl -1.135 0.720 3.051
Tl 0.757 -2.571 2.037
Tl 5.574 -0.119 3.069

=====

Entry 5:
4
Lattice="-3.475 4.024 0.825 -5.117 -0.496 -1.588 -3.912 -0.530 3.656" Properties=species:S:1:pos:R:3 comment="PBE TlCdHgSb, optimized geometry" polymorph_energy_mev_per_atom=0 pbc="T T T"
Hg -6.252 1.499 1.447
Sb 0.000 0.000 0.000
Tl -3.126 0.749 0.723
Cd -9.378 2.248 2.170

=====

Entry 6:
5
Lattice="-0.761 5.001 -0.699 -0.575 -0.823 -5.266 -5.020 -0.673 0.653" Properties=species:S:1:pos:R:3 comment="PBE VCdHgSb2, optimized geometry" polymorph_energy_mev_per_atom=0 pbc="T T T"
Sb -2.510 -0.336 0.327
Sb -0.380 2.501 -0.349
Hg -0.287 -0.412 -2.633
V 0.000 0.000 0.000
Cd -3.178 1.753 -2.656

=====

Entry 7:
5
Lattice="-2.764 -0.058 4.783 4.140 -1.865 2.370 1.715 5.144 1.053" Properties=species:S:1:pos:R:3 comment="PBE VCdHgSb2, optimized geometry" polymorph_energy_mev_per_atom=904 pbc="T T T"
Hg 0.000 0.000 0.000
Sb -1.382 -0.029 2.391
Sb 0.857 2.572 0.526
V 2.070 -0.932 1.185
Cd 1.545 1.611 4.103

=====

Entry 8:
20
Lattice="8.871 0.000 3.108 -4.244 6.739 2.636 0.384 0.000 8.380" Properties=species:S:1:pos:R:3 comment="PBE ScCd7Hg12, optimized geometry" formation_enthalpy_0k_kj_per_mol_atoms=-0.7 polymorph_energy_mev_per_atom=12 pbc="T T T"
Cd 1.135 3.011 7.601
Cd 4.436 0.000 1.554
Cd 0.983 0.654 5.306
Cd 4.029 6.086 8.819
Cd 6.137 4.382 12.277
Cd -1.126 2.358 1.847
Cd 3.876 3.728 6.523
Hg 0.704 3.486 4.424
Hg 3.329 5.442 11.905
Hg -1.277 5.157 6.688
Hg 4.041 1.671 4.374
Hg 0.970 5.068 9.750
Hg 1.811 6.056 6.763
Hg 6.289 1.582 7.436
Hg 4.308 3.254 9.700
Hg -2.170 4.759 3.738
Hg 7.182 1.981 10.386
Hg 1.682 1.298 2.219
Hg 3.201 0.683 7.362
Sc 0.000 0.000 0.000